## MnSbS (PBE-GGA)

Data for a relaxed structure of MnSbS.

calculated total energy	-17.31	eV per formula unit
spin magnetization	2.92	μB per formula unit

Cell lengths 7.141, 8.233, 8.851 Å; angles 90.00, 90.00, 90.00 degrees
Space group Fmmm (No. 69)
Unique sites:
Mn (0.174, 0.000, 0.000) (multiplicity 8)
Sb (0.000, 0.186, 0.500) (multiplicity 8)
S (0.000, 0.000, 0.218) (multiplicity 8)